No. 1
Entry from Alexandria: a relaxed Cs2CoGeF6 crystal (PBE with a Hubbard U).

a b c (Å): 6.266 6.266 6.266
angles (deg): 120.54 120.54 89.07
Sites, in units of the cell vectors:
Cs 0.250 0.750 0.500
Cs 0.750 0.250 0.500
Co 0.000 0.000 0.000
Ge 0.500 0.500 0.000
F 0.235 0.235 0.470
F 0.235 0.765 0.000
F 0.249 0.249 0.000
F 0.751 0.751 0.000
F 0.765 0.235 0.000
F 0.765 0.765 0.530

## Properties
- Calculated total energy: -4.623 eV/atom
- Space-group type: I4/mmm (139)
- Total magnetization: 3.00 μB/f.u.

No. 2
Entry from Alexandria: a relaxed Co5Pd3O12 crystal (PBE with a Hubbard U).

a b c (Å): 10.331 10.331 10.331
angles (deg): 109.47 109.47 109.47
Sites, in units of the cell vectors:
Co 0.000 0.000 0.000
Co 0.000 0.000 0.500
Co 0.000 0.500 0.000
Co 0.000 0.500 0.500
Co 0.125 0.750 0.875
Co 0.125 0.875 0.250
Co 0.250 0.125 0.875
Co 0.250 0.625 0.375
Co 0.375 0.250 0.625
Co 0.375 0.625 0.750
Co 0.500 0.000 0.000
Co 0.500 0.000 0.500
Co 0.500 0.500 0.000
Co 0.500 0.500 0.500
Co 0.625 0.375 0.250
Co 0.625 0.750 0.375
Co 0.750 0.375 0.625
Co 0.750 0.875 0.125
Co 0.875 0.125 0.750
Co 0.875 0.250 0.125
Pd 0.125 0.250 0.375
Pd 0.125 0.375 0.750
Pd 0.250 0.375 0.125
Pd 0.250 0.875 0.625
Pd 0.375 0.125 0.250
Pd 0.375 0.750 0.125
Pd 0.625 0.250 0.875
Pd 0.625 0.875 0.750
Pd 0.750 0.125 0.375
Pd 0.750 0.625 0.875
Pd 0.875 0.625 0.250
Pd 0.875 0.750 0.625
O 0.033 0.206 0.119
O 0.033 0.327 0.915
O 0.085 0.619 0.412
O 0.085 0.967 0.673
O 0.088 0.706 0.673
O 0.088 0.881 0.415
O 0.119 0.033 0.206
O 0.119 0.585 0.912
O 0.173 0.206 0.588
O 0.173 0.467 0.585
O 0.206 0.119 0.033
O 0.206 0.588 0.173
O 0.294 0.327 0.912
O 0.294 0.467 0.381
O 0.327 0.912 0.294
O 0.327 0.915 0.033
O 0.381 0.294 0.467
O 0.381 0.588 0.915
O 0.412 0.085 0.619
O 0.412 0.827 0.794
O 0.415 0.088 0.881
O 0.415 0.827 0.533
O 0.467 0.381 0.294
O 0.467 0.585 0.173
O 0.533 0.415 0.827
O 0.533 0.619 0.706
O 0.585 0.173 0.467
O 0.585 0.912 0.119
O 0.588 0.173 0.206
O 0.588 0.915 0.381
O 0.619 0.412 0.085
O 0.619 0.706 0.533
O 0.673 0.085 0.967
O 0.673 0.088 0.706
O 0.706 0.533 0.619
O 0.706 0.673 0.088
O 0.794 0.412 0.827
O 0.794 0.881 0.967
O 0.827 0.533 0.415
O 0.827 0.794 0.412
O 0.881 0.415 0.088
O 0.881 0.967 0.794
O 0.912 0.119 0.585
O 0.912 0.294 0.327
O 0.915 0.033 0.327
O 0.915 0.381 0.588
O 0.967 0.673 0.085
O 0.967 0.794 0.881

## Properties
- Calculated total energy: -5.481 eV/atom
- Space-group type: Ia-3d (230)
- Total magnetization: 5.04 μB/f.u.